Compound: ScAgPb2F
Source: the Alexandria database
Functional: PBE-GGA
Structure: relaxed

Calculated values
- energy above the lowest structure with this stoichiometry (eV per formula unit) = 0.000
- E_form (uncorrected) (eV/atom) = 0.139
- total moment (Bohr magnetons per cell) = 0.52
- N(E_F) (states/eV/atom) = 1.24

Cell: 5.3695 5.3695 5.4342 Å, 90.00 90.00 90.00°
Closest atoms and distances in Å follow each position.
Space group P4/mmm (No. 123)
Inequivalent atoms, fractional coordinates:
Sc  0.0000  0.0000  0.0000 x1  2 Ag 2.72
Ag  0.0000  0.0000  0.5000 x1  4 Pb 2.68, 2 Sc 2.72
Pb  0.0000  0.5000  0.5000 x2  2 Ag 2.68
F  0.5000  0.5000  0.0000 x1  4 Sc 3.80, 8 Pb 3.82